Version P
Here is an optimized crystal structure of Mn2HgBr from Alexandria via LeMat-Bulk. Energies are from PBE.

Unit cell a=3.283 b=3.283 c=8.120 alpha=90.00 beta=90.00 gamma=90.00
Fractional coordinates of all 4 atoms:
Mn 0.000 0.000 0.000
Mn 0.500 0.500 0.197
Hg 0.500 0.500 0.799
Br 0.000 0.000 0.372

Results
Crystal system: tetragonal
Size of the total moment, μB/cell: 7.79
N(E_F), states/eV/cell: 2.36
V, Å³ per atom: 21.88
Space-group type: P4mm (99)

***

Version Q
Here is an optimized crystal structure of Mn2HgBr from Alexandria via LeMat-Bulk. Energies are from PBE.

Unit cell a=8.474 b=8.474 c=8.474 alpha=22.84 beta=22.84 gamma=22.84
Fractional coordinates of all 4 atoms:
Mn 0.249 0.249 0.249
Mn 0.751 0.751 0.751
Hg 0.000 0.000 0.000
Br 0.500 0.500 0.500

Results
Crystal system: trigonal
Size of the total moment, μB/cell: 8.10
N(E_F), states/eV/cell: 2.64
V, Å³ per atom: 20.11
Space-group type: R-3m (166)

***

The data favor version P; the next most stable structure lies 7.9 kJ/mol of atoms above it.